Record 1
Rb2ScSi4O10F | SCAN | single point on PBEsol structure

Results
Magnetization: 0.0 Bohr magnetons per cell
Energy relative to the elements, uncorrected: -302.6 kJ per mole of atoms
Raw total energy: -436.2 eV per cell

```
36
Lattice="-5.6565 5.6565 4.1607 5.6565 -5.6565 4.1607 5.6565 5.6565 -4.1607" Properties=species:S:1:pos:R:3 pbc="T T T"
Rb 9.1762 2.0953 0.0000
Rb 2.0953 2.1368 0.0000
Rb 3.5612 3.5197 4.1607
Rb -3.5197 3.5612 4.1607
Sc 0.0000 0.0000 2.1393
Sc 0.0000 0.0000 6.1821
Si 5.5470 -2.1121 1.5861
Si 7.7686 -0.1095 2.5746
Si 3.5444 0.1095 2.5746
Si 5.7660 2.1121 1.5861
Si -0.1095 3.5444 2.5746
Si 2.1121 5.5470 1.5861
Si -2.1121 5.7660 1.5861
Si 0.1095 7.7686 2.5746
O 5.6621 3.5890 -2.1638
O 6.9669 -1.3036 1.7717
O 4.3529 -1.3104 2.3890
O 6.1695 2.0384 0.0000
O 3.5890 5.6509 -2.1638
O 2.0675 0.0056 1.9969
O 4.3461 1.3036 1.7717
O 6.9601 1.3104 2.3890
O -0.0056 2.0675 1.9969
O 2.0384 5.1436 0.0000
O 3.6181 0.5130 4.1607
O 5.6621 3.5890 2.1638
O -1.3036 4.3461 1.7717
O 1.3104 4.3529 2.3890
O 3.5890 5.6509 2.1638
O 2.0675 0.0056 6.3245
O -0.5130 3.6181 4.1607
O 1.3036 6.9669 1.7717
O -1.3104 6.9601 2.3890
O -0.0056 2.0675 6.3245
F 0.0000 0.0000 0.0000
F 0.0000 0.0000 4.1607
```

Record 2
Sc2TiNi2 | SCAN | single point on PBEsol structure

Results
Magnetization: 0.0 Bohr magnetons per cell
Formation enthalpy at 0 K: -0.384 eV per atom
Raw total energy: -157.5 eV per cell

```
10
Lattice="6.2239 0.0000 0.0000 0.0000 6.2239 0.0000 0.0000 0.0000 4.1898" Properties=species:S:1:pos:R:3 pbc="T T T"
Sc 1.0811 2.0308 0.0000
Sc 2.0308 5.1427 0.0000
Sc 4.1931 1.0811 0.0000
Sc 5.1427 4.1931 0.0000
Ti 0.0000 0.0000 2.0949
Ti 3.1119 3.1119 2.0949
Ni 0.8257 3.9376 2.0949
Ni 2.2862 0.8257 2.0949
Ni 3.9376 5.3982 2.0949
Ni 5.3982 2.2862 2.0949
```

Record 3
Ba2LaIn | SCAN | single point on PBEsol structure

Results
Magnetization: 0.9 Bohr magnetons per cell
Formation enthalpy at 0 K: -0.268 eV per atom
Raw total energy: -156.7 eV per cell

```
4
Lattice="4.0906 0.0000 0.0000 0.0000 4.0906 0.0000 0.0000 0.0000 9.8754" Properties=species:S:1:pos:R:3 pbc="T T T"
Ba 0.0000 0.0000 0.0000
Ba 2.0453 2.0453 3.4286
La 2.0453 2.0453 7.2015
In 0.0000 0.0000 5.6041
```

Record 4
Rb3IrF6 | SCAN | single point on PBEsol structure

Results
Magnetization: 0.2 Bohr magnetons per cell
Energy relative to the elements, uncorrected: -233.5 kJ per mole of atoms
Raw total energy: -178.8 eV per cell

```
10
Lattice="0.0000 4.5690 4.5690 4.5690 0.0000 4.5690 4.5690 4.5690 0.0000" Properties=species:S:1:pos:R:3 pbc="T T T"
Rb 0.0000 0.0000 0.0000
Rb 2.2845 2.2845 2.2845
Rb 6.8536 6.8536 6.8536
Ir 4.5690 4.5690 4.5690
F 4.5690 4.5690 2.5609
F 4.5690 2.5609 4.5690
F 6.5772 4.5690 4.5690
F 2.5609 4.5690 4.5690
F 4.5690 6.5772 4.5690
F 4.5690 4.5690 6.5772
```

Record 5
CeB2Pt2C | SCAN | single point on PBEsol structure

Results
Magnetization: 0.8 Bohr magnetons per cell
Formation enthalpy at 0 K: -0.791 eV per atom
Raw total energy: -214.7 eV per cell

```
6
Lattice="-1.8870 1.8870 5.3891 1.8870 -1.8870 5.3891 1.8870 1.8870 -5.3891" Properties=species:S:1:pos:R:3 pbc="T T T"
Ce 0.0000 0.0000 0.0000
B 0.0000 0.0000 3.9015
B 0.0000 0.0000 6.8766
Pt 1.8870 0.0000 2.6945
Pt 0.0000 1.8870 2.6945
C 0.0000 0.0000 5.3891
```

Record 6
BaLiHg2 | SCAN | single point on PBEsol structure

Results
Magnetization: 0.0 Bohr magnetons per cell
Formation enthalpy at 0 K: -0.487 eV per atom
Raw total energy: -180.2 eV per cell

```
4
Lattice="3.8199 0.0000 0.0000 0.0000 3.8222 0.0000 -0.2235 0.0000 7.3301" Properties=species:S:1:pos:R:3 pbc="T T T"
Ba 0.0000 0.0000 0.0000
Li -0.1117 0.0000 3.6650
Hg 1.7049 1.9111 5.1045
Hg 1.8915 1.9111 2.2256
```

Record 7
SbP2Os | SCAN | single point on PBEsol structure

Results
Magnetization: 0.0 Bohr magnetons per cell
Energy relative to the elements, uncorrected: 23.9 kJ per mole of atoms
Raw total energy: -128.9 eV per cell

```
4
Lattice="1.5607 0.9011 8.1961 -1.5607 0.9011 8.1961 0.0000 -1.8022 8.1961" Properties=species:S:1:pos:R:3 pbc="T T T"
Sb 0.0000 0.0000 0.0000
P 0.0000 0.0000 5.7102
P 0.0000 0.0000 18.8780
Os 0.0000 0.0000 12.2941
```

Record 8
EuSn3 | SCAN | single point on PBEsol structure

Results
Magnetization: 7.0 Bohr magnetons per cell
Formation enthalpy at 0 K: -0.517 eV per atom
Raw total energy: -163.5 eV per cell

```
4
Lattice="4.6737 0.0000 0.0000 0.0000 4.6737 0.0000 0.0000 0.0000 4.6737" Properties=species:S:1:pos:R:3 pbc="T T T"
Eu 0.0000 0.0000 0.0000
Sn 0.0000 2.3369 2.3369
Sn 2.3369 0.0000 2.3369
Sn 2.3369 2.3369 0.0000
```

Record 9
K2SmCuCl6 | SCAN | single point on PBEsol structure

Results
Magnetization: 0.1 Bohr magnetons per cell
Energy relative to the elements, uncorrected: -187.7 kJ per mole of atoms
Raw total energy: -143.6 eV per cell

```
10
Lattice="0.0000 5.1101 5.1101 5.1101 0.0000 5.1101 5.1101 5.1101 0.0000" Properties=species:S:1:pos:R:3 pbc="T T T"
K 2.5550 2.5550 2.5550
K 7.6651 7.6651 7.6651
Sm 0.0000 0.0000 0.0000
Cu 5.1101 5.1101 5.1101
Cl 5.1101 5.1101 2.6506
Cl 5.1101 2.6506 5.1101
Cl 7.5695 5.1101 5.1101
Cl 2.6506 5.1101 5.1101
Cl 5.1101 7.5695 5.1101
Cl 5.1101 5.1101 7.5695
```

Record 10
CsIn2GaIr | SCAN | single point on PBEsol structure

Results
Magnetization: 0.0 Bohr magnetons per cell
Formation enthalpy at 0 K: 1.811 eV per atom
Raw total energy: -183.0 eV per cell

```
5
Lattice="6.1024 0.0000 0.0000 0.0000 6.1024 0.0000 0.0000 0.0000 5.0731" Properties=species:S:1:pos:R:3 pbc="T T T"
Cs 0.0000 0.0000 0.0000
In 0.0000 3.0512 0.0000
In 3.0512 0.0000 0.0000
Ga 3.0512 3.0512 2.5365
Ir 0.0000 0.0000 2.5365
```

Record 11
CrTc4Te | SCAN | single point on PBEsol structure

Results
Magnetization: 2.2 Bohr magnetons per cell
Energy relative to the elements, uncorrected: 48.8 kJ per mole of atoms
Raw total energy: -192.8 eV per cell

```
6
Lattice="0.0000 3.6185 3.6185 3.6185 0.0000 3.6185 3.6185 3.6185 0.0000" Properties=species:S:1:pos:R:3 pbc="T T T"
Cr 0.0000 0.0000 0.0000
Tc 2.7092 2.7092 2.7092
Tc 4.5279 4.5279 2.7092
Tc 4.5279 2.7092 4.5279
Tc 2.7092 4.5279 4.5279
Te 5.4278 5.4278 5.4278
```

Record 12
KSc2Os | SCAN | single point on PBEsol structure

Results
Magnetization: 0.0 Bohr magnetons per cell
Formation enthalpy at 0 K: 0.114 eV per atom
Raw total energy: -108.2 eV per cell

```
4
Lattice="1.9277 1.1130 10.0384 -1.9277 1.1130 10.0384 0.0000 -2.2259 10.0384" Properties=species:S:1:pos:R:3 pbc="T T T"
K 0.0000 0.0000 0.0000
Sc 0.0000 0.0000 3.7418
Sc 0.0000 0.0000 26.3735
Os 0.0000 0.0000 15.0576
```

- Which value of magnetization does entry 6 give?
  0.0 Bohr magnetons per cell

- Which value of magnetization does entry 8 give?
  7.0 Bohr magnetons per cell

- Among the records above, which one has the highest raw total energy?
  KSc2Os

- Which formula does entry 2 have?
  Sc2TiNi2